Material: Na2Sn3Hg6
Method: DFT, PBE
State: relaxed

The structure in POSCAR format:
```
Na2Sn3Hg6
1.0
-4.3688 2.2258 -0.6630
-2.2835 -4.3743 0.3622
2.1550 2.8059 13.6802
Sn Hg Na
3 6 2
direct
0.8706 0.8706 0.7411
0.0000 0.0000 0.0000
0.1294 0.1294 0.2589
0.0667 0.5667 0.1334
0.9333 0.4333 0.8666
0.4333 0.9333 0.8666
0.5667 0.0667 0.1334
0.7599 0.7599 0.5199
0.2401 0.2401 0.4801
0.3512 0.3512 0.7024
0.6488 0.6488 0.2976
```

Calculated values
Formation energy (eV/f.u.): 0.12
DFT total energy (eV/atom): -1.4854